# GGA+U MgMn6O4F8, relaxed
# Energy above the lowest structure with this stoichiometry, meV per atom: 32
# Calculated total energy, hartree per atom: -0.2407
data_MgMn6O4F8
_chemical_formula_sum 'Mg1 Mn6 O4 F8'
_symmetry_space_group_name_H-M 'P 1'
_symmetry_Int_Tables_number 1
_cell_length_a 5.1921
_cell_length_b 5.8566
_cell_length_c 8.0854
_cell_angle_alpha 86.11
_cell_angle_beta 89.59
_cell_angle_gamma 87.07
loop_
_symmetry_equiv_pos_as_xyz
'x,y,z'
loop_
_atom_site_label
_atom_site_type_symbol
_atom_site_fract_x
_atom_site_fract_y
_atom_site_fract_z
_atom_site_occupancy
Mg1 Mg 0.4875 0.1697 0.8282 1
Mn1 Mn 0.4919 0.5498 0.0400 1
Mn2 Mn 0.6713 0.7700 0.6407 1
Mn3 Mn 0.4913 0.1614 0.3381 1
Mn4 Mn 0.9515 0.3107 0.6774 1
Mn5 Mn 0.0100 0.6534 0.3347 1
Mn6 Mn 0.9951 0.0029 0.0117 1
O1 O 0.8250 0.0270 0.7681 1
O2 O 0.6585 0.4709 0.7813 1
O3 O 0.6849 0.8791 0.4049 1
O4 O 0.3199 0.4487 0.2592 1
F1 F 0.7854 0.3423 0.4280 1
F2 F 0.8522 0.6840 0.0893 1
F3 F 0.6427 0.1799 0.0758 1
F4 F 0.3011 0.1592 0.6074 1
F5 F 0.3553 0.8613 0.9080 1
F6 F 0.0835 0.6124 0.5973 1
F7 F 0.2008 0.9740 0.2426 1
F8 F 0.1782 0.3162 0.9171 1